## ScMnSn2F (GGA+U)

Data for a geometry-optimized ScMnSn2F structure.

POSCAR file:
```
ScMnSn2F
1.0
-2.571 -3.067 -3.272
3.420 -2.150 -0.672
-1.214 -3.154 3.911
Sc Mn Sn F
1 1 2 1
direct
0.500 0.500 0.500
0.000 0.500 0.000
0.000 0.000 0.500
0.500 0.000 0.000
0.000 0.000 0.000
```

Calculated values
- SG: P4/mmm (123)
- Energy: -5.26 eV per atom
- Calculated density: 5.41 g/cm³